Compound: AuBr
Source: Alexandria via LeMat-Bulk
Functional: PBE
Structure: optimized geometry

abc: 5.0213 5.0213 5.0213
angles: 60.00 60.00 60.00
Sites, in units of the cell vectors:
Au: 0.0000 0.0000 0.0000
Au: 0.2500 0.2500 0.2500
Br: 0.5000 0.5000 0.5000
Br: 0.7500 0.7500 0.7500

Computed properties:
Its theoretical density is 10.27 g/cm3. The raw formation energy comes out at 0.532 eV/atom. Its space group is Fd-3m (227). Its total energy is -7.77 eV per cell.